CaCrOs2C: relaxed, PBE-GGA.

Output
Formation enthalpy at 0 K ... 1374 meV per atom
Symmetry ... P4/mmm

abc: 4.635 3.862 4.635
angles: 90.00 90.00 90.00
Sites, in units of the cell vectors:
Ca  0.500  0.500  0.500
C  0.000  0.500  0.000
Os  0.500  0.000  0.000
Os  0.000  0.000  0.500
Cr  0.000  0.000  0.000



CaCrReC2: relaxed, PBE-GGA.

Output
Formation enthalpy at 0 K ... 1120 meV per atom
Symmetry ... P4/mmm

abc: 4.113 4.810 4.113
angles: 90.00 90.00 90.00
Sites, in units of the cell vectors:
Ca  0.500  0.500  0.500
C  0.000  0.000  0.500
C  0.500  0.000  0.000
Re  0.000  0.000  0.000
Cr  0.000  0.500  0.000



CaCrC2S: relaxed, PBE-GGA.

Output
ΔE_f (raw) ... 767.2 meV per atom
Symmetry ... P4/mmm

abc: 3.747 9.317 3.747
angles: 90.00 90.00 90.00
Sites, in units of the cell vectors:
C  0.500  0.000  0.000
C  0.000  0.000  0.500
Cr  0.000  0.000  0.000
Ca  0.000  0.500  0.000
S  0.500  0.500  0.500



CaScCrC2: relaxed, PBE-GGA.

Output
Formation enthalpy at 0 K ... 2669 meV per atom
Symmetry ... P4/mmm

abc: 4.501 4.501 4.932
angles: 90.00 90.00 90.00
Sites, in units of the cell vectors:
C  0.000  0.500  0.000
C  0.500  0.000  0.000
Sc  0.000  0.000  0.500
Cr  0.500  0.500  0.500
Ca  0.000  0.000  0.000